1.
## LiPdSeBr2 (PBE)

Data for crystalline LiPdSeBr2 at its relaxed geometry.

Properties
- E_form (uncorrected): -0.317 eV per atom

Cell: 5.2947 5.2947 4.8924 Å, 90.00 90.00 90.00°
Each line ends with the local moment (μB).
Fractional positions:
Br  0.5000  0.0000  0.0000  0.05
Br  0.0000  0.5000  0.0000  0.05
Pd  0.0000  0.0000  0.0000  0.18
Se  0.0000  0.0000  0.5000  0.41
Li  0.5000  0.5000  0.5000  0.00

2.
## LiSnPdBr2 (PBE)

Data for crystalline LiSnPdBr2 at its relaxed geometry.

Properties
- E_form (uncorrected): -0.070 eV per atom

Cell: 5.2433 4.7648 5.2433 Å, 90.00 90.00 90.00°
Fractional positions:
Br  0.0000  0.0000  0.5000
Br  0.5000  0.0000  0.0000
Li  0.0000  0.5000  0.0000
Sn  0.5000  0.5000  0.5000
Pd  0.0000  0.0000  0.0000

3.
## Li2PmBr4 (PBE)

Data for crystalline Li2PmBr4 at its relaxed geometry.

Properties
- E_form (uncorrected): -1.411 eV per atom

Cell: 6.8286 6.8286 6.8286 Å, 104.90 104.90 119.06°
Each line ends with the local moment (μB).
Fractional positions:
Li  0.7500  0.2500  0.5000  0.00
Li  0.2500  0.7500  0.5000  0.00
Br  0.8183  0.3600  0.1784  0.00
Br  0.6400  0.8183  0.4583  0.00
Br  0.3600  0.1817  0.5417  0.00
Br  0.1817  0.6400  0.8216  0.00
Pm  0.5000  0.5000  0.0000  0.43

4.
## LiPmBr2 (PBE)

Data for crystalline LiPmBr2 at its relaxed geometry.

Properties
- E_form (uncorrected): -1.208 eV per atom

Cell: 3.9425 3.9425 9.0408 Å, 77.41 77.41 60.00°
Fractional positions:
Pm  0.0000  0.0000  0.0000
Br  0.1090  0.1090  0.6731
Br  0.8910  0.8910  0.3269
Li  0.5000  0.5000  0.5000

> Which value of E_form (uncorrected) does entry 2 give?

-0.070 eV per atom

Copy entry 1 word for word.
## LiPdSeBr2 (PBE)

Data for crystalline LiPdSeBr2 at its relaxed geometry.

Properties
- E_form (uncorrected): -0.317 eV per atom

Cell: 5.2947 5.2947 4.8924 Å, 90.00 90.00 90.00°
Each line ends with the local moment (μB).
Fractional positions:
Br  0.5000  0.0000  0.0000  0.05
Br  0.0000  0.5000  0.0000  0.05
Pd  0.0000  0.0000  0.0000  0.18
Se  0.0000  0.0000  0.5000  0.41
Li  0.5000  0.5000  0.5000  0.00

> Look up the E_form (uncorrected) of the third one.

-1.411 eV per atom